ZrNbCu2Si4: relaxed, PBE.

Energy, eV/atom: -6.4543

Cell: 3.6349 3.6349 8.9738 Å, 90.00 90.00 90.00°
Closest atoms and distances in Å follow each position.
Fractional positions:
Zr 0.0000 0.0000 0.0000  8 Si 2.71-2.80
Nb 0.5000 0.5000 0.5406  8 Si 2.69-2.70, 4 Cu 3.01
Cu 0.0000 0.5000 0.2737  4 Si 2.42, 4 Cu 2.57
Cu 0.5000 0.0000 0.2737  4 Si 2.42, 4 Cu 2.57
Si 0.0000 0.0000 0.4515  4 Cu 2.42, 4 Nb 2.69
Si 0.0000 0.5000 0.7632  4 Si 2.57, 2 Nb 2.70, 2 Zr 2.80
Si 0.5000 0.0000 0.7632  4 Si 2.57, 2 Nb 2.70, 2 Zr 2.80
Si 0.5000 0.5000 0.0963  4 Cu 2.42